Density functional theory data (GGA+U) for a geometry-optimized VCuPb2O5 structure.

Properties
- Symmetry: Cmc2_1 (36)
- Calculated volume: 14.15 Å³/atom
- Uncorrected energy: -6.02 eV/atom

a = 7.899 Å, b = 7.899 Å, c = 10.326 Å
α = 90.00°, β = 90.00°, γ = 156.71°
Fractional coordinates of all 18 atoms:
V 0.220 0.780 0.500
V 0.780 0.220 0.000
Cu 0.452 0.548 0.959
Cu 0.548 0.452 0.459
Pb 0.113 0.887 0.779
Pb 0.135 0.865 0.196
Pb 0.865 0.135 0.696
Pb 0.887 0.113 0.279
O 0.086 0.914 0.542
O 0.283 0.717 0.126
O 0.299 0.701 0.876
O 0.335 0.665 0.503
O 0.498 0.502 0.789
O 0.502 0.498 0.289
O 0.665 0.335 0.003
O 0.701 0.299 0.376
O 0.717 0.283 0.626
O 0.914 0.086 0.042